Arrangement one

{
  "formula": "SiTc2Pd2",
  "functional": "PBE-GGA",
  "state": "optimized geometry",
  "cell": [[-0.2475, -2.3973, 5.5690], [-1.3493, -5.4121, -2.3897], [4.1426, -0.9362, -0.2189]],
  "species": ["Pd", "Pd", "Pd", "Pd", "Tc", "Tc", "Tc", "Tc", "Si", "Si"],
  "frac_coords": [[0.8448, 0.6552, 0.0000], [0.3448, 0.8448, 0.0000], [0.6552, 0.1552, 0.0000], [0.1552, 0.3448, 0.0000], [0.3595, 0.1405, 0.5000], [0.1405, 0.6405, 0.5000], [0.8595, 0.3595, 0.5000], [0.6405, 0.8595, 0.5000], [0.5000, 0.5000, 0.0000], [0.0000, 0.0000, 0.0000]],
  "magnetic_moment_mub_per_fu": 0.0
}

Arrangement two

{
  "formula": "SiTc2Pd2",
  "functional": "PBE-GGA",
  "state": "optimized geometry",
  "cell": [[3.3965, 0.0000, 0.0000], [0.0000, 3.3965, 0.0000], [1.6982, 1.6982, 7.1036]],
  "species": ["Tc", "Tc", "Pd", "Pd", "Si"],
  "frac_coords": [[0.7500, 0.2500, 0.5000], [0.2500, 0.7500, 0.5000], [0.4069, 0.4069, 0.1862], [0.5931, 0.5931, 0.8138], [0.0000, 0.0000, 0.0000]],
  "magnetic_moment_mub_per_fu": 0.0
}

Stability, highest: arrangement one